(1)
Sr2NbGeIr: optimized geometry, GGA-PBE.

Structure (CIF):
```
data_Sr2NbGeIr
_chemical_formula_sum 'Sr2 Nb1 Ge1 Ir1'
_space_group_name_H-M_alt 'P 4/m m m'
_space_group_IT_number 123
_space_group_name_Hall '-P 4 2'
_cell_length_a 5.813
_cell_length_b 5.813
_cell_length_c 4.834
_cell_angle_alpha 90.00
_cell_angle_beta 90.00
_cell_angle_gamma 90.00
loop_
_atom_site_label
_atom_site_fract_x
_atom_site_fract_y
_atom_site_fract_z
Sr1 0.000 0.500 0.000
Nb1 0.000 0.000 0.500
Ge1 0.500 0.500 0.500
Ir1 0.000 0.000 0.000
```

Computed properties:
* M_tot: 1.57 μB/f.u.
* ΔH_f (0 K): 374 meV/atom
* ρ: 5.4 Mg/m³
* DFT total energy: -5.008 eV per atom

---

(2)
Tb2NbGe3Ir4: optimized geometry, GGA-PBE.

Structure (CIF):
```
data_Tb2NbGe3Ir4
_chemical_formula_sum 'Tb2 Nb1 Ge3 Ir4'
_space_group_name_H-M_alt 'P -4 m 2'
_space_group_IT_number 115
_cell_length_a 4.149
_cell_length_b 4.149
_cell_length_c 10.778
_cell_angle_alpha 90.00
_cell_angle_beta 90.00
_cell_angle_gamma 90.00
loop_
_space_group_symop_operation_xyz
'x,y,z'
'y,-x,-z'
'-x,-y,z'
'-y,x,-z'
'-x,y,z'
'-y,-x,-z'
'x,-y,z'
'y,x,-z'
loop_
_atom_site_label
_atom_site_fract_x
_atom_site_fract_y
_atom_site_fract_z
Tb1 0.000 0.500 0.235
Nb1 0.000 0.000 0.500
Ge1 0.000 0.500 0.870
Ge2 0.500 0.500 0.500
Ir1 0.000 0.000 0.000
Ir2 0.000 0.500 0.643
Ir3 0.500 0.500 0.000
```

Computed properties:
* M_tot: 0.00 μB/f.u.
* ΔH_f (0 K): -753 meV/atom
* ρ: 12.5 Mg/m³
* DFT total energy: -7.615 eV per atom

---

(3)
Y2NbGe3Ir4: optimized geometry, GGA-PBE.

Structure (CIF):
```
data_Y2NbGe3Ir4
_chemical_formula_sum 'Y2 Nb1 Ge3 Ir4'
_space_group_name_H-M_alt 'P -4 m 2'
_space_group_IT_number 115
_cell_length_a 4.143
_cell_length_b 4.143
_cell_length_c 10.794
_cell_angle_alpha 90.00
_cell_angle_beta 90.00
_cell_angle_gamma 90.00
loop_
_space_group_symop_operation_xyz
'x,y,z'
'y,-x,-z'
'-x,-y,z'
'-y,x,-z'
'-x,y,z'
'-y,-x,-z'
'x,-y,z'
'y,x,-z'
loop_
_atom_site_label
_atom_site_fract_x
_atom_site_fract_y
_atom_site_fract_z
Y1 0.000 0.500 0.235
Nb1 0.000 0.000 0.500
Ge1 0.000 0.500 0.870
Ge2 0.500 0.500 0.500
Ir1 0.000 0.000 0.000
Ir2 0.000 0.500 0.643
Ir3 0.500 0.500 0.000
```

Computed properties:
* M_tot: 0.00 μB/f.u.
* ΔH_f (0 K): -752 meV/atom
* ρ: 11.3 Mg/m³
* DFT total energy: -7.981 eV per atom

---

(4)
Zr2NbGeIr: optimized geometry, GGA-PBE.

Structure (CIF):
```
data_Zr2NbGeIr
_chemical_formula_sum 'Zr2 Nb1 Ge1 Ir1'
_space_group_name_H-M_alt 'P 4/m m m'
_space_group_IT_number 123
_space_group_name_Hall '-P 4 2'
_cell_length_a 5.066
_cell_length_b 5.066
_cell_length_c 4.818
_cell_angle_alpha 90.00
_cell_angle_beta 90.00
_cell_angle_gamma 90.00
loop_
_atom_site_label
_atom_site_fract_x
_atom_site_fract_y
_atom_site_fract_z
Zr1 0.000 0.500 0.000
Nb1 0.000 0.000 0.500
Ge1 0.500 0.500 0.500
Ir1 0.000 0.000 0.000
```

Computed properties:
* M_tot: 0.00 μB/f.u.
* ΔH_f (0 K): 363 meV/atom
* ρ: 7.3 Mg/m³
* DFT total energy: -7.766 eV per atom

---

(5)
NdGe3Ir2: optimized geometry, GGA-PBE.

Structure (CIF):
```
data_NdGe3Ir2
_chemical_formula_sum 'Nd4 Ge12 Ir8'
_space_group_name_H-M_alt 'C m c m'
_space_group_IT_number 63
_space_group_name_Hall '-C 2c 2'
_cell_length_a 9.904
_cell_length_b 7.899
_cell_length_c 5.716
_cell_angle_alpha 90.00
_cell_angle_beta 90.00
_cell_angle_gamma 90.00
loop_
_atom_site_label
_atom_site_fract_x
_atom_site_fract_y
_atom_site_fract_z
Nd1 0.000 0.163 0.250
Ge1 0.000 0.471 0.750
Ge2 0.168 0.222 0.750
Ir1 0.229 0.500 0.000
```

Computed properties:
* M_tot: 0.00 μB/f.u.
* ΔH_f (0 K): -418 meV/atom
* ΔE to the lowest computed polymorph: 104 meV per atom
* ρ: 11.1 Mg/m³
* DFT total energy: -6.475 eV per atom

---

(6)
Nd3Ge3Ir: optimized geometry, GGA-PBE.

Structure (CIF):
```
data_Nd3Ge3Ir
_chemical_formula_sum 'Nd12 Ge12 Ir4'
_space_group_name_H-M_alt 'C 1 2/m 1'
_space_group_IT_number 12
_cell_length_a 11.013
_cell_length_b 4.396
_cell_length_c 14.428
_cell_angle_alpha 90.00
_cell_angle_beta 109.88
_cell_angle_gamma 90.00
loop_
_space_group_symop_operation_xyz
'x,y,z'
'-x,-y,-z'
'-x,y,-z'
'x,-y,z'
'x+1/2,y+1/2,z'
'-x+1/2,-y+1/2,-z'
'-x+1/2,y+1/2,-z'
'x+1/2,-y+1/2,z'
loop_
_atom_site_label
_atom_site_fract_x
_atom_site_fract_y
_atom_site_fract_z
Nd1 0.030 0.000 0.381
Nd2 0.103 0.000 0.922
Nd3 0.245 0.000 0.234
Ge1 0.039 0.500 0.232
Ge2 0.113 0.500 0.073
Ge3 0.149 0.500 0.537
Ir1 0.250 0.000 0.612
```

Computed properties:
* M_tot: 0.00 μB/f.u.
* ΔH_f (0 K): -841 meV/atom
* ρ: 8.5 Mg/m³
* DFT total energy: -6.130 eV per atom

---

(7)
Nd8Ge2Ir: optimized geometry, GGA-PBE.

Structure (CIF):
```
data_Nd8Ge2Ir
_chemical_formula_sum 'Nd16 Ge4 Ir2'
_space_group_name_H-M_alt 'C 1 2/m 1'
_space_group_IT_number 12
_cell_length_a 19.308
_cell_length_b 4.876
_cell_length_c 6.984
_cell_angle_alpha 90.00
_cell_angle_beta 102.68
_cell_angle_gamma 90.00
loop_
_space_group_symop_operation_xyz
'x,y,z'
'-x,-y,-z'
'-x,y,-z'
'x,-y,z'
'x+1/2,y+1/2,z'
'-x+1/2,-y+1/2,-z'
'-x+1/2,y+1/2,-z'
'x+1/2,-y+1/2,z'
loop_
_atom_site_label
_atom_site_fract_x
_atom_site_fract_y
_atom_site_fract_z
Nd1 0.021 0.000 0.284
Nd2 0.093 0.500 0.972
Nd3 0.154 0.500 0.498
Nd4 0.216 0.000 0.833
Ge1 0.182 0.000 0.253
Ir1 0.000 0.500 0.500
```

Computed properties:
* M_tot: 0.00 μB/f.u.
* ΔH_f (0 K): -429 meV/atom
* ρ: 7.7 Mg/m³
* DFT total energy: -5.541 eV per atom

---

(8)
NdGeIr: optimized geometry, GGA-PBE.

Structure (CIF):
```
data_NdGeIr
_chemical_formula_sum 'Nd4 Ge4 Ir4'
_space_group_name_H-M_alt 'P 1 21/c 1'
_space_group_IT_number 14
_cell_length_a 5.913
_cell_length_b 6.282
_cell_length_c 7.657
_cell_angle_alpha 90.00
_cell_angle_beta 115.96
_cell_angle_gamma 90.00
loop_
_space_group_symop_operation_xyz
'x,y,z'
'-x,-y,-z'
'-x,y+1/2,-z+1/2'
'x,-y+1/2,z+1/2'
loop_
_atom_site_label
_atom_site_fract_x
_atom_site_fract_y
_atom_site_fract_z
Nd1 0.201 0.140 0.380
Ge1 0.368 0.597 0.288
Ir1 0.229 0.612 0.553
```

Computed properties:
* M_tot: 0.00 μB/f.u.
* ΔH_f (0 K): -751 meV/atom
* ρ: 10.6 Mg/m³
* DFT total energy: -6.833 eV per atom